This record from Alexandria via LeMat-Bulk describes an optimized crystal structure of NiBiO3. The functional is PBE with a Hubbard U.

Results
**Mass density**: 8.18 g/cm3
**E_tot**: -5.28 eV/atom
**Crystal system**: trigonal

a = 5.5045 Å, b = 5.5045 Å, c = 14.6549 Å
α = 90.00°, β = 90.00°, γ = 120.00°
Space group R3 (No. 146, hexagonal axes)
Unique sites:
Ni: 0.0000 0.0000 0.0000 x3
Ni: 0.0000 0.0000 0.4967 x3
Bi: 0.0000 0.0000 0.2137 x3
Bi: 0.0000 0.0000 0.7020 x3
O: 0.0168 0.6491 0.7615 x9
O: 0.0230 0.4075 0.2657 x9